1.
The following is a DFT calculation (GGA-PBE) of a geometry-optimized AcSb6Pd12 structure.

## Properties
ΔE_f (raw) ... -432 meV/atom

a b c (Å): 11.8884 11.8884 9.4518
angles (deg): 90.00 90.00 120.00
Space group R-3m (No. 166, hexagonal axes)
Asymmetric unit:
Ac: 0.0000 0.0000 0.0000 [3 per cell]
Sb: 0.0538 0.5269 0.2670 [18 per cell]
Pd: 0.0000 0.3799 0.5000 [18 per cell]
Pd: 0.0828 0.1656 0.2926 [18 per cell]



2.
The following is a DFT calculation (GGA-PBE) of a geometry-optimized AcSb2Pd2 structure.

## Properties
ΔE_f (raw) ... -898 meV/atom

a b c (Å): 4.7646 4.7646 10.6211
angles (deg): 90.00 90.00 90.00
Space group P4/nmm (No. 129, origin choice 2)
Asymmetric unit:
Ac: 0.2500 0.2500 0.2406 [2 per cell]
Sb: 0.2500 0.2500 0.8736 [2 per cell]
Sb: 0.2500 0.7500 0.5000 [2 per cell]
Pd: 0.2500 0.2500 0.6235 [2 per cell]
Pd: 0.2500 0.7500 0.0000 [2 per cell]



3.
The following is a DFT calculation (GGA-PBE) of a geometry-optimized AcSb2Pd5 structure.

## Properties
ΔE_f (raw) ... -634 meV/atom

a b c (Å): 4.2784 7.1561 10.9215
angles (deg): 90.00 90.00 90.00
Space group Immm (No. 71)
Asymmetric unit:
Ac: 0.0000 0.0000 0.0000 [2 per cell]
Sb: 0.0000 0.5000 0.2386 [4 per cell]
Pd: 0.0000 0.1944 0.3694 [8 per cell]
Pd: 0.0000 0.5000 0.0000 [2 per cell]



4.
The following is a DFT calculation (GGA-PBE) of a geometry-optimized AcSb2Pd6 structure.

## Properties
ΔE_f (raw) ... -488 meV/atom

a b c (Å): 5.7550 5.7550 6.9923
angles (deg): 90.00 90.00 120.00
Space group P6/mmm (No. 191)
Asymmetric unit:
Ac: 0.0000 0.0000 0.0000 [1 per cell]
Sb: 0.3333 0.6667 0.5000 [2 per cell]
Pd: 0.0000 0.5000 0.1997 [6 per cell]



5.
The following is a DFT calculation (GGA-PBE) of a geometry-optimized Ac2Sb4Pd5 structure.

## Properties
ΔE_f (raw) ... -682 meV/atom

a b c (Å): 6.2560 10.6753 15.8390
angles (deg): 90.00 90.00 90.00
Space group Fmmm (No. 69)
Asymmetric unit:
Ac: 0.0000 0.0000 0.1436 [8 per cell]
Sb: 0.0000 0.1548 0.3708 [16 per cell]
Pd: 0.0000 0.0000 0.5000 [4 per cell]
Pd: 0.2500 0.2500 0.0000 [8 per cell]
Pd: 0.2500 0.2500 0.2500 [8 per cell]



6.
The following is a DFT calculation (GGA-PBE) of a geometry-optimized Ac2Sb2Pd5 structure.

## Properties
ΔE_f (raw) ... -783 meV/atom

a b c (Å): 4.6751 4.6751 9.4036
angles (deg): 90.00 90.00 90.00
Space group P4/mmm (No. 123)
Asymmetric unit:
Ac: 0.0000 0.0000 0.0000 [1 per cell]
Ac: 0.0000 0.0000 0.5000 [1 per cell]
Sb: 0.5000 0.5000 0.1603 [2 per cell]
Pd: 0.0000 0.5000 0.2865 [4 per cell]
Pd: 0.5000 0.5000 0.5000 [1 per cell]



What are the spin magnetization values for these records? In order: 0.0, 0.0, 0.0, 0.0, 0.0, 0.0 μB per formula unit.